Entry 1:
Material: Nd2Al5Ni2Ir
Method: DFT, PBE
State: relaxed

a = 3.813 Å, b = 9.642 Å, c = 9.642 Å
α = 90.00°, β = 90.00°, γ = 90.00°
Sites, in units of the cell vectors:
Nd1 0.000 0.686 0.186
Nd2 0.000 0.314 0.814
Nd3 0.000 0.186 0.314
Nd4 0.000 0.814 0.686
Al1 0.500 0.197 0.049
Al2 0.500 0.803 0.951
Al3 0.500 0.049 0.803
Al4 0.500 0.697 0.451
Al5 0.500 0.951 0.197
Al6 0.500 0.303 0.549
Al7 0.500 0.549 0.697
Al8 0.500 0.451 0.303
Al9 0.500 0.500 0.000
Al10 0.500 0.000 0.500
Ni1 0.000 0.111 0.611
Ni2 0.000 0.889 0.389
Ni3 0.000 0.611 0.889
Ni4 0.000 0.389 0.111
Ir1 0.000 0.000 0.000
Ir2 0.000 0.500 0.500

Calculated formation energy: -4.81 eV/f.u.
Raw total energy: -5.35 eV/atom
Space group: P4/mbm, No. 127
Mass density: 6.87 g cm⁻³

Entry 2:
Material: Nd2AlIrO6
Method: DFT, PBE
State: relaxed

a = 5.352 Å, b = 5.677 Å, c = 7.796 Å
α = 90.00°, β = 90.00°, γ = 90.00°
Sites, in units of the cell vectors:
Nd1 0.500 0.770 0.232
Nd2 0.000 0.230 0.732
Nd3 0.500 0.770 0.768
Nd4 0.000 0.230 0.268
Al1 0.500 0.248 0.500
Al2 0.000 0.752 0.000
Ir1 0.000 0.741 0.500
Ir2 0.500 0.259 0.000
O1 0.500 0.223 0.260
O2 0.500 0.223 0.740
O3 0.000 0.777 0.240
O4 0.000 0.777 0.760
O5 0.247 0.013 0.500
O6 0.753 0.013 0.500
O7 0.243 0.464 0.500
O8 0.757 0.464 0.500
O9 0.743 0.536 0.000
O10 0.257 0.536 0.000
O11 0.253 0.987 0.000
O12 0.747 0.987 0.000

Raw total energy: -7.63 eV/atom
Space group: Pmmn, No. 59
Mass density: 8.46 g cm⁻³
Formation energy without anion corrections: -24.39 eV/f.u.

Entry 3:
Material: NdAl4IrOs2
Method: DFT, PBE
State: relaxed

a = 4.265 Å, b = 4.265 Å, c = 9.026 Å
α = 76.33°, β = 76.33°, γ = 60.00°
Sites, in units of the cell vectors:
Nd1 0.000 0.000 0.000
Al1 0.405 0.405 0.784
Al2 0.868 0.868 0.395
Al3 0.132 0.132 0.605
Al4 0.595 0.595 0.216
Ir1 0.500 0.500 0.500
Os1 0.763 0.763 0.710
Os2 0.237 0.237 0.290

Calculated formation energy: -4.07 eV/f.u.
Raw total energy: -6.89 eV/atom
Space group: R-3m, No. 166
Mass density: 10.01 g cm⁻³

Entry 4:
Material: NdAl4IrPd2
Method: DFT, PBE
State: relaxed

a = 4.272 Å, b = 4.272 Å, c = 9.363 Å
α = 76.81°, β = 76.81°, γ = 60.00°
Sites, in units of the cell vectors:
Nd1 0.000 0.000 0.000
Al1 0.405 0.405 0.785
Al2 0.865 0.865 0.404
Al3 0.135 0.135 0.596
Al4 0.595 0.595 0.215
Ir1 0.500 0.500 0.500
Pd1 0.767 0.767 0.700
Pd2 0.233 0.233 0.300

Calculated formation energy: -6.25 eV/f.u.
Raw total energy: -5.65 eV/atom
Space group: R-3m, No. 166
Mass density: 7.65 g cm⁻³

Entry 5:
Material: NdAl2IrPd2
Method: DFT, PBE
State: relaxed

a = 4.676 Å, b = 4.676 Å, c = 5.591 Å
α = 90.00°, β = 90.00°, γ = 90.00°
Sites, in units of the cell vectors:
Nd1 0.000 0.000 0.500
Al1 0.500 0.000 0.000
Al2 0.000 0.500 0.000
Ir1 0.000 0.000 0.000
Pd1 0.500 0.500 0.745
Pd2 0.500 0.500 0.255

Calculated formation energy: -3.54 eV/f.u.
Raw total energy: -5.84 eV/atom
Space group: P4/mmm, No. 123
Mass density: 8.20 g cm⁻³

Entry 6:
Material: Nd2Al5Ir2Pd
Method: DFT, PBE
State: relaxed

a = 3.750 Å, b = 10.073 Å, c = 10.073 Å
α = 90.00°, β = 90.00°, γ = 90.00°
Sites, in units of the cell vectors:
Nd1 0.000 0.684 0.184
Nd2 0.000 0.316 0.816
Nd3 0.000 0.184 0.316
Nd4 0.000 0.816 0.684
Al1 0.500 0.199 0.052
Al2 0.500 0.801 0.948
Al3 0.500 0.052 0.801
Al4 0.500 0.699 0.448
Al5 0.500 0.948 0.199
Al6 0.500 0.301 0.552
Al7 0.500 0.552 0.699
Al8 0.500 0.448 0.301
Al9 0.500 0.500 0.000
Al10 0.500 0.000 0.500
Ir1 0.000 0.116 0.616
Ir2 0.000 0.884 0.384
Ir3 0.000 0.616 0.884
Ir4 0.000 0.384 0.116
Pd1 0.000 0.000 0.000
Pd2 0.000 0.500 0.500

Calculated formation energy: -6.10 eV/f.u.
Raw total energy: -5.73 eV/atom
Space group: P4/mbm, No. 127
Mass density: 7.98 g cm⁻³

Entry 7:
Material: Nd2Al5IrPd2
Method: DFT, PBE
State: relaxed

a = 3.569 Å, b = 10.298 Å, c = 10.298 Å
α = 90.00°, β = 90.00°, γ = 90.00°
Sites, in units of the cell vectors:
Nd1 0.000 0.686 0.186
Nd2 0.000 0.314 0.814
Nd3 0.000 0.186 0.314
Nd4 0.000 0.814 0.686
Al1 0.500 0.187 0.045
Al2 0.500 0.813 0.955
Al3 0.500 0.045 0.813
Al4 0.500 0.687 0.455
Al5 0.500 0.955 0.187
Al6 0.500 0.313 0.545
Al7 0.500 0.545 0.687
Al8 0.500 0.455 0.313
Al9 0.500 0.500 0.000
Al10 0.500 0.000 0.500
Ir1 0.000 0.000 0.000
Ir2 0.000 0.500 0.500
Pd1 0.000 0.118 0.618
Pd2 0.000 0.882 0.382
Pd3 0.000 0.618 0.882
Pd4 0.000 0.382 0.118

Calculated formation energy: -6.16 eV/f.u.
Raw total energy: -5.37 eV/atom
Space group: P4/mbm, No. 127
Mass density: 7.27 g cm⁻³

Entry 8:
Material: Nd2Al4Ir3Pd
Method: DFT, PBE
State: relaxed

a = 4.266 Å, b = 4.266 Å, c = 10.362 Å
α = 90.00°, β = 90.00°, γ = 90.00°
Sites, in units of the cell vectors:
Nd1 0.500 0.000 0.252
Nd2 0.000 0.500 0.748
Al1 0.500 0.500 0.000
Al2 0.000 0.000 0.000
Al3 0.500 0.000 0.624
Al4 0.000 0.500 0.376
Ir1 0.000 0.000 0.500
Ir2 0.500 0.000 0.866
Ir3 0.000 0.500 0.134
Pd1 0.500 0.500 0.500

Calculated formation energy: -8.71 eV/f.u.
Raw total energy: -6.50 eV/atom
Space group: P-4m2, No. 115
Mass density: 9.51 g cm⁻³

Entry 9:
Material: PmNdAlIr
Method: DFT, PBE
State: relaxed

a = 5.129 Å, b = 5.129 Å, c = 5.129 Å
α = 60.00°, β = 60.00°, γ = 60.00°
Sites, in units of the cell vectors:
Ir1 0.000 0.000 0.000
Nd1 0.250 0.250 0.250
Al1 0.500 0.500 0.500
Pm1 0.750 0.750 0.750

Calculated formation energy: -1.57 eV/f.u.
Raw total energy: -5.92 eV/atom
Space group: F-43m, No. 216
Mass density: 8.85 g cm⁻³

Entry 10:
Material: Nd2Al4Ir3Pt
Method: DFT, PBE
State: relaxed

a = 4.239 Å, b = 4.239 Å, c = 10.456 Å
α = 90.00°, β = 90.00°, γ = 90.00°
Sites, in units of the cell vectors:
Nd1 0.500 0.000 0.253
Nd2 0.000 0.500 0.747
Al1 0.500 0.500 0.000
Al2 0.000 0.000 0.000
Al3 0.500 0.000 0.626
Al4 0.000 0.500 0.374
Ir1 0.000 0.000 0.500
Ir2 0.500 0.000 0.866
Ir3 0.000 0.500 0.134
Pt1 0.500 0.500 0.500

Calculated formation energy: -9.28 eV/f.u.
Raw total energy: -6.64 eV/atom
Space group: P-4m2, No. 115
Mass density: 10.32 g cm⁻³

Entry 11:
Material: Nd2Al3IrPt12
Method: DFT, PBE
State: relaxed

a = 8.190 Å, b = 8.190 Å, c = 8.190 Å
α = 57.73°, β = 57.73°, γ = 57.73°
Sites, in units of the cell vectors:
Nd1 0.627 0.627 0.627
Nd2 0.373 0.373 0.373
Al1 0.500 0.000 0.000
Al2 0.000 0.500 0.000
Al3 0.000 0.000 0.500
Ir1 0.000 0.000 0.000
Pt1 0.376 0.376 0.870
Pt2 0.876 0.876 0.388
Pt3 0.388 0.876 0.876
Pt4 0.870 0.376 0.376
Pt5 0.876 0.388 0.876
Pt6 0.376 0.870 0.376
Pt7 0.624 0.624 0.130
Pt8 0.124 0.124 0.612
Pt9 0.612 0.124 0.124
Pt10 0.130 0.624 0.624
Pt11 0.124 0.612 0.124
Pt12 0.624 0.130 0.624

Calculated formation energy: -6.53 eV/f.u.
Raw total energy: -6.04 eV/atom
Space group: R-3m, No. 166
Mass density: 13.09 g cm⁻³

Entry 12:
Material: Nd2Al4IrPt3
Method: DFT, PBE
State: relaxed

a = 4.274 Å, b = 4.274 Å, c = 10.403 Å
α = 90.00°, β = 90.00°, γ = 90.00°
Sites, in units of the cell vectors:
Nd1 0.500 0.000 0.254
Nd2 0.000 0.500 0.746
Al1 0.500 0.500 0.000
Al2 0.000 0.000 0.000
Al3 0.500 0.000 0.626
Al4 0.000 0.500 0.374
Ir1 0.500 0.500 0.500
Pt1 0.000 0.000 0.500
Pt2 0.500 0.000 0.867
Pt3 0.000 0.500 0.133

Calculated formation energy: -10.75 eV/f.u.
Raw total energy: -6.22 eV/atom
Space group: P-4m2, No. 115
Mass density: 10.26 g cm⁻³

no.,total magnetization (μB/atom)
1,0.000
2,0.000
3,0.000
4,0.000
5,0.000
6,0.000
7,0.000
8,0.000
9,0.000
10,0.000
11,0.000
12,0.000